[1]
Compound: YTc2O
Source: Alexandria via LeMat-Bulk
Functional: PBE-GGA
Structure: relaxed

```
8
Lattice="-7.0203 -0.1879 -1.5368 0.6252 -6.8723 -2.0155 -3.6732 -4.2360 0.4831" Properties=species:S:1:pos:R:3 pbc="T T T"
Y 0.0000 0.0000 0.0000
Y -6.9455 -3.9770 -1.4149
Tc -4.4270 -2.0140 -0.9164
Tc -2.2059 -5.3991 -1.5063
Tc -5.0818 -6.6085 -1.1997
Tc -8.4220 -8.5707 -2.5160
O -3.1975 -3.5301 -1.7761
O -3.1228 -7.3192 -1.6542
```

D(E_F) = 4.53 states/eV/f.u.
Crystal system = tetragonal
Formation energy without anion corrections = -256 meV per atom
Total moment = 0.000 μB/cell
Calculated total energy = -66.36 eV per cell

=====

[2]
Compound: AlAsSe2
Source: Alexandria via LeMat-Bulk
Functional: PBE-GGA
Structure: relaxed

```
4
Lattice="3.6757 0.0000 0.0000 0.0000 7.4287 0.0000 0.0000 0.0000 3.6839" Properties=species:S:1:pos:R:3 pbc="T T T"
As 0.0000 3.7143 1.8419
Al 1.8379 0.0000 1.8419
Se 0.0000 0.0000 0.0000
Se 1.8379 3.7143 0.0000
```

D(E_F) = 2.31 states/eV/f.u.
Crystal system = orthorhombic
Formation energy without anion corrections = 27 meV per atom
Energy above the lowest structure with this stoichiometry = 339 meV per atom
Total moment = 0.000 μB/cell
Calculated total energy = -15.25 eV per cell

=====

[3]
Compound: Nd3YIn3
Source: Alexandria via LeMat-Bulk
Functional: PBE-GGA
Structure: relaxed

```
28
Lattice="-6.4930 1.9957 -6.6944 1.6185 -8.4612 -4.0923 -6.7955 -3.9222 5.4218" Properties=species:S:1:pos:R:3 pbc="T T T"
Nd -6.0129 -1.7992 -5.9637
Nd -10.8558 -9.6630 -4.9906
Nd -6.4572 -5.3464 -6.5260
Nd -2.0047 -7.9588 -2.7560
Nd -2.0544 -1.8287 -0.9445
Nd -5.3639 -8.9767 -1.8751
Nd -3.6284 -5.7358 0.8615
Nd -7.4881 -4.0438 1.5915
Nd -9.4644 -4.6235 -1.3841
Nd -7.8343 -6.9734 -3.6015
Nd -6.5102 -1.1407 -1.7670
Nd -2.3454 -4.2358 -4.8336
Y -5.8407 -8.3454 2.1480
Y -9.7911 -1.0544 -3.3758
Y -4.9511 -4.4071 -2.2761
Y -2.7570 -6.9684 -7.2259
In -10.6519 -7.7509 -2.2322
In -7.3620 0.7082 -4.4433
In -9.5460 -6.8737 -6.3363
In -1.7097 -4.9554 -1.6111
In -4.7981 -2.5992 0.5449
In -0.2687 -6.8489 -5.2406
In -5.5067 -5.5532 3.6445
In -6.6509 -6.3939 -0.4567
In -3.7653 -1.5896 -3.6565
In -7.6172 -10.1342 -4.2186
In -7.6211 -3.5763 -3.8018
In -4.5219 -6.7587 -4.3814
```

D(E_F) = 8.12 states/eV/f.u.
Crystal system = cubic
Energy above the lowest structure with this stoichiometry = 0 meV per atom
Total moment = 0.000 μB/cell
Formation energy = -232 kJ/mol of formula units
Calculated total energy = -125.54 eV per cell

=====

[4]
Compound: MgNbInTc2
Source: Alexandria via LeMat-Bulk
Functional: PBE-GGA
Structure: relaxed

```
5
Lattice="4.8800 0.0000 0.0000 0.0000 4.5647 0.0000 0.0000 0.0000 4.8800" Properties=species:S:1:pos:R:3 pbc="T T T"
Mg 0.0000 2.2823 0.0000
Nb 2.4400 2.2823 2.4400
Tc 0.0000 0.0000 2.4400
Tc 2.4400 0.0000 0.0000
In 0.0000 0.0000 0.0000
```

D(E_F) = 5.04 states/eV/f.u.
Crystal system = tetragonal
Total moment = 0.000 μB/cell
Formation energy = 890 kJ/mol of formula units
Calculated total energy = -25.91 eV per cell

=====

[5]
Compound: AlRe2Ir
Source: Alexandria via LeMat-Bulk
Functional: PBE-GGA
Structure: relaxed

```
4
Lattice="-1.0664 -3.2965 3.3993 -0.5238 -4.7075 1.0603 4.2476 -0.8968 1.5264" Properties=species:S:1:pos:R:3 pbc="T T T"
Re -1.5768 -7.9612 4.4368
Re 1.3154 -4.4933 3.0158
Ir 0.6644 -2.2252 1.4965
Al 1.9931 -6.6757 4.4895
```

D(E_F) = 2.18 states/eV/f.u.
Crystal system = monoclinic
Total moment = 0.000 μB/cell
Formation energy = -75 kJ/mol of formula units
Calculated total energy = -38.28 eV per cell

=====

[6]
Compound: RbCr2BiCl8
Source: Alexandria via LeMat-Bulk
Functional: PBE-GGA
Structure: relaxed

```
12
Lattice="-0.8378 -6.4191 1.2787 5.9424 -3.2639 -1.1413 4.5442 -1.9485 7.8956" Properties=species:S:1:pos:R:3 pbc="T T T"
Rb 2.2721 -0.9742 3.9478
Cr 5.6884 -5.7080 5.5737
Cr 3.9605 -5.9235 2.4593
Bi 0.0000 0.0000 0.0000
Cl 5.1801 -3.8284 1.4246
Cl 4.0667 -7.1534 0.4450
Cl 1.6136 -5.5610 2.2144
Cl 4.4687 -7.8031 6.6084
Cl 5.5821 -4.4781 7.5879
Cl 8.0352 -6.0705 5.8186
Cl 5.9467 -6.7872 3.4486
Cl 3.7022 -4.8443 4.5843
```

Crystal system = triclinic
Formation energy without anion corrections = -1096 meV per atom
Total moment = 8.000 μB/cell
Calculated total energy = -52.02 eV per cell